[1]
Pm2MnGePt6 | PBE | relaxed

Output
- Volume: 21.2 A^3/atom
- Density: 12.42 g/cm³
- Raw total energy: -6.660 eV/atom
- E_form: -707 meV/atom

Unit cell a=5.6326 b=5.6326 c=23.1840 alpha=90.00 beta=90.00 gamma=120.00
Closest atoms and distances in Å follow each position.
Space group R-3m (No. 166, hexagonal axes)
Unique sites:
Pm 0.0000 0.0000 0.2029 x6  9 Pt 3.04-3.26, 3 Mn 3.36
Mn 0.0000 0.0000 0.5000 x3  6 Pt 2.55
Ge 0.0000 0.0000 0.0000 x3  6 Pt 2.50
Pt 0.0045 0.5023 0.2520 x18  1 Ge 2.50, 1 Mn 2.55, 2 Pt 2.78

---

[2]
Pm2MnGe4Pt3 | PBE | relaxed

Output
- Volume: 19.1 A^3/atom
- Density: 10.62 g/cm³
- Raw total energy: -6.351 eV/atom
- E_form: -825 meV/atom

Unit cell a=4.2611 b=4.2611 c=10.5152 alpha=90.00 beta=90.00 gamma=90.00
Closest atoms and distances in Å follow each position.
Space group P-4m2 (No. 115)
Unique sites:
Pm 0.0000 0.5000 0.2503 x2  8 Ge 3.25-3.39, 6 Pt 3.27-3.38, 2 Mn 3.38
Mn 0.0000 0.0000 0.5000 x1  4 Ge 2.55
Ge 0.0000 0.0000 0.0000 x1  4 Pt 2.53
Ge 0.0000 0.5000 0.6338 x2  3 Pt 2.49-2.55, 2 Mn 2.55
Ge 0.5000 0.5000 0.0000 x1  4 Pt 2.53
Pt 0.0000 0.5000 0.8705 x2  5 Ge 2.49-2.53
Pt 0.5000 0.5000 0.5000 x1  4 Ge 2.55

---

[3]
PmPuMnGe | PBE | relaxed

Output
- Volume: 23.6 A^3/atom
- Density: 9.09 g/cm³
- Raw total energy: -8.148 eV/atom
- E_form: 70 meV/atom

Unit cell a=7.2268 b=7.2268 c=7.2268 alpha=90.00 beta=90.00 gamma=90.00
Closest atoms and distances in Å follow each position.
Space group F-43m (No. 216)
Unique sites:
Pm 0.0000 0.0000 0.0000 x4  4 Ge 3.13, 4 Mn 3.13
Pu 0.0000 0.0000 0.5000 x4  4 Ge 3.13, 4 Mn 3.13
Mn 0.2500 0.2500 0.7500 x4  4 Pm 3.13, 4 Pu 3.13
Ge 0.2500 0.2500 0.2500 x4  4 Pm 3.13, 4 Pu 3.13

---

[4]
Pm2MnGeRh6 | PBE | relaxed

Output
- Volume: 19.2 A^3/atom
- Density: 8.95 g/cm³
- Raw total energy: -7.077 eV/atom
- E_form: -337 meV/atom

Unit cell a=5.9702 b=6.4851 c=6.6151 alpha=117.88 beta=91.76 gamma=116.90
Closest atoms and distances in Å follow each position.
Space group P-1 (No. 2)
Unique sites:
Pm 0.2059 0.1007 0.2819 x2  6 Rh 2.96-3.09, 1 Ge 3.13
Mn 0.5000 0.5000 0.0000 x1  6 Rh 2.46-2.57
Ge 0.0000 0.5000 0.5000 x1  6 Rh 2.47-2.49
Rh 0.1662 0.5874 0.8962 x2  1 Mn 2.46, 1 Ge 2.47, 5 Rh 2.59-2.73
Rh 0.3320 0.9896 0.8129 x2  1 Ge 2.49, 1 Mn 2.57, 4 Rh 2.64-2.75
Rh 0.3439 0.7289 0.3492 x2  1 Ge 2.48, 1 Mn 2.57, 5 Rh 2.64-2.75

---

- Number 4 is which compound?
  Pm2MnGeRh6